1.
Material: CaY2Au
Method: DFT, GGA-PBE
State: optimized geometry

E above lowest polymorph	260	meV per atom
electronic total energy	-4.690	eV/atom
size of the total moment	0.00	μB per cell
formation energy	-3.2	kcal/mol of atoms

Cell and atoms, written as CIF:
```
data_CaY2Au
_chemical_formula_sum 'Ca1 Y2 Au1'
_cell_length_a 6.1789
_cell_length_b 6.1789
_cell_length_c 6.1789
_cell_angle_alpha 136.28
_cell_angle_beta 136.28
_cell_angle_gamma 63.55
_space_group_name_H-M_alt 'P 1'
_space_group_IT_number 1
loop_
_space_group_symop_operation_xyz
'x,y,z'
loop_
_atom_site_label
_atom_site_fract_x
_atom_site_fract_y
_atom_site_fract_z
Y1 0.0000 0.0000 0.0000
Y2 0.5000 0.5000 0.0000
Ca1 0.7500 0.2500 0.5000
Au1 0.2500 0.7500 0.5000
```

---

2.
Material: Ca2YAu9
Method: DFT, GGA-PBE
State: optimized geometry

electronic total energy	-3.837	eV/atom
size of the total moment	0.00	μB per cell
formation energy	-11.7	kcal/mol of atoms

Cell and atoms, written as CIF:
```
data_Ca2YAu9
_chemical_formula_sum 'Ca2 Y1 Au9'
_cell_length_a 5.5584
_cell_length_b 5.5584
_cell_length_c 10.0653
_cell_angle_alpha 73.97
_cell_angle_beta 73.97
_cell_angle_gamma 60.00
_space_group_name_H-M_alt 'P 1'
_space_group_IT_number 1
loop_
_space_group_symop_operation_xyz
'x,y,z'
loop_
_atom_site_label
_atom_site_fract_x
_atom_site_fract_y
_atom_site_fract_z
Ca1 0.8588 0.8588 0.4235
Ca2 0.1412 0.1412 0.5765
Y1 0.0000 0.0000 0.0000
Au1 0.6674 0.6674 0.9978
Au2 0.3326 0.3326 0.0022
Au3 0.5000 0.5000 0.5000
Au4 0.4139 0.4139 0.2550
Au5 0.9172 0.4139 0.2550
Au6 0.4139 0.9172 0.2550
Au7 0.5861 0.5861 0.7450
Au8 0.5861 0.0828 0.7450
Au9 0.0828 0.5861 0.7450
```

---

3.
Material: CaY2Au3
Method: DFT, GGA-PBE
State: optimized geometry

E above lowest polymorph	0	meV per atom
electronic total energy	-4.970	eV/atom
size of the total moment	0.00	μB per cell
formation energy	-19.5	kcal/mol of atoms

Cell and atoms, written as CIF:
```
data_CaY2Au3
_chemical_formula_sum 'Ca1 Y2 Au3'
_cell_length_a 3.6068
_cell_length_b 3.6068
_cell_length_c 10.9803
_cell_angle_alpha 90.00
_cell_angle_beta 90.00
_cell_angle_gamma 90.00
_space_group_name_H-M_alt 'P 1'
_space_group_IT_number 1
loop_
_space_group_symop_operation_xyz
'x,y,z'
loop_
_atom_site_label
_atom_site_fract_x
_atom_site_fract_y
_atom_site_fract_z
Ca1 0.5000 0.5000 0.5000
Y1 0.5000 0.5000 0.8334
Y2 0.5000 0.5000 0.1666
Au1 0.0000 0.0000 0.0000
Au2 0.0000 0.0000 0.6811
Au3 0.0000 0.0000 0.3189
```

---

4.
Material: CaYAu3
Method: DFT, GGA-PBE
State: optimized geometry

E above lowest polymorph	199	meV per atom
electronic total energy	-3.611	eV/atom
size of the total moment	0.00	μB per cell
formation energy	1.1	kcal/mol of atoms

Cell and atoms, written as CIF:
```
data_CaYAu3
_chemical_formula_sum 'Ca1 Y1 Au3'
_cell_length_a 5.1915
_cell_length_b 5.1915
_cell_length_c 5.1915
_cell_angle_alpha 90.00
_cell_angle_beta 90.00
_cell_angle_gamma 90.00
_space_group_name_H-M_alt 'P 1'
_space_group_IT_number 1
loop_
_space_group_symop_operation_xyz
'x,y,z'
loop_
_atom_site_label
_atom_site_fract_x
_atom_site_fract_y
_atom_site_fract_z
Y1 0.5000 0.5000 0.5000
Ca1 0.0000 0.0000 0.0000
Au1 0.0000 0.5000 0.0000
Au2 0.0000 0.0000 0.5000
Au3 0.5000 0.0000 0.0000
```

---

5.
Material: CaYAu2
Method: DFT, GGA-PBE
State: optimized geometry

electronic total energy	-4.449	eV/atom
size of the total moment	0.00	μB per cell
formation energy	-16.0	kcal/mol of atoms

Cell and atoms, written as CIF:
```
data_CaYAu2
_chemical_formula_sum 'Ca1 Y1 Au2'
_cell_length_a 4.1269
_cell_length_b 4.1269
_cell_length_c 7.7507
_cell_angle_alpha 74.56
_cell_angle_beta 74.56
_cell_angle_gamma 60.00
_space_group_name_H-M_alt 'P 1'
_space_group_IT_number 1
loop_
_space_group_symop_operation_xyz
'x,y,z'
loop_
_atom_site_label
_atom_site_fract_x
_atom_site_fract_y
_atom_site_fract_z
Ca1 0.6689 0.6689 0.9933
Y1 0.4985 0.4985 0.5044
Au1 0.0876 0.0876 0.7373
Au2 0.2450 0.2450 0.2650
```

---

6.
Material: CaYAu2
Method: DFT, GGA-PBE
State: optimized geometry

electronic total energy	-4.580	eV/atom
size of the total moment	0.00	μB per cell
formation energy	-19.0	kcal/mol of atoms

Cell and atoms, written as CIF:
```
data_CaYAu2
_chemical_formula_sum 'Ca1 Y1 Au2'
_cell_length_a 5.8092
_cell_length_b 5.8092
_cell_length_c 4.7171
_cell_angle_alpha 90.01
_cell_angle_beta 90.01
_cell_angle_gamma 38.53
_space_group_name_H-M_alt 'P 1'
_space_group_IT_number 1
loop_
_space_group_symop_operation_xyz
'x,y,z'
loop_
_atom_site_label
_atom_site_fract_x
_atom_site_fract_y
_atom_site_fract_z
Y1 0.7614 0.7614 0.8751
Ca1 0.4859 0.4859 0.3749
Au1 0.0401 0.0401 0.8750
Au2 0.2127 0.2127 0.3750
```

---

7.
Material: CaY2Au
Method: DFT, GGA-PBE
State: optimized geometry

E above lowest polymorph	174	meV per atom
electronic total energy	-4.776	eV/atom
size of the total moment	0.00	μB per cell
formation energy	-5.2	kcal/mol of atoms

Cell and atoms, written as CIF:
```
data_CaY2Au
_chemical_formula_sum 'Ca2 Y4 Au2'
_cell_length_a 8.8394
_cell_length_b 8.8394
_cell_length_c 7.0404
_cell_angle_alpha 51.11
_cell_angle_beta 51.11
_cell_angle_gamma 90.00
_space_group_name_H-M_alt 'P 1'
_space_group_IT_number 1
loop_
_space_group_symop_operation_xyz
'x,y,z'
loop_
_atom_site_label
_atom_site_fract_x
_atom_site_fract_y
_atom_site_fract_z
Y1 0.6932 0.1250 0.2500
Y2 0.0568 0.6250 0.2500
Y3 0.3750 0.3068 0.7500
Y4 0.8750 0.9432 0.7500
Ca1 0.5000 0.5000 0.0000
Ca2 0.2500 0.7500 0.5000
Au1 0.0000 0.0000 0.0000
Au2 0.7500 0.2500 0.5000
```

---

8.
Material: CaYAu4
Method: DFT, GGA-PBE
State: optimized geometry

E above lowest polymorph	157	meV per atom
electronic total energy	-4.127	eV/atom
size of the total moment	0.00	μB per cell
formation energy	-12.3	kcal/mol of atoms

Cell and atoms, written as CIF:
```
data_CaYAu4
_chemical_formula_sum 'Ca1 Y1 Au4'
_cell_length_a 3.9713
_cell_length_b 9.3003
_cell_length_c 3.9742
_cell_angle_alpha 90.00
_cell_angle_beta 90.00
_cell_angle_gamma 90.00
_space_group_name_H-M_alt 'P 1'
_space_group_IT_number 1
loop_
_space_group_symop_operation_xyz
'x,y,z'
loop_
_atom_site_label
_atom_site_fract_x
_atom_site_fract_y
_atom_site_fract_z
Ca1 0.5000 0.5000 0.5000
Y1 0.0000 0.0000 0.0000
Au1 0.5000 0.7568 0.9999
Au2 0.5000 0.2432 0.0001
Au3 0.0000 0.2430 0.5000
Au4 0.0000 0.7570 0.5000
```